{"formula": "Pr2ErZn2Ga2", "functional": "GGA-PBE", "state": "optimized geometry", "delta_e_f_ev_per_atom": -0.406, "lattice_angstrom": [[2.2237, 1.2839, 9.7152], [-2.2237, 1.2839, 9.7152], [0.0000, -2.5678, 9.7152]], "species": ["Pr", "Pr", "Er", "Zn", "Zn", "Ga", "Ga"], "fractional_positions": [[0.1233, 0.1233, 0.1233], [0.8767, 0.8767, 0.8767], [0.0000, 0.0000, 0.0000], [0.3883, 0.3883, 0.3883], [0.6117, 0.6117, 0.6117], [0.2726, 0.2726, 0.2726], [0.7274, 0.7274, 0.7274]]}

=====

{"formula": "La3AuC", "functional": "GGA-PBE", "state": "optimized geometry", "polymorph_energy_mev_per_atom": 16, "delta_e_f_ev_per_atom": -0.365, "lattice_angstrom": [[7.8700, -1.9384, 0.0000], [7.8700, 1.9384, 0.0000], [-5.6512, 0.0000, 9.0806]], "species": ["La", "La", "La", "La", "La", "La", "Au", "Au", "C", "C"], "fractional_positions": [[0.1326, 0.1326, 0.1689], [0.1627, 0.1627, 0.7910], [0.3601, 0.3601, 0.5283], [0.6399, 0.6399, 0.4717], [0.8373, 0.8373, 0.2090], [0.8674, 0.8674, 0.8311], [0.4453, 0.4453, 0.1085], [0.5547, 0.5547, 0.8915], [0.2494, 0.2494, 0.6482], [0.7506, 0.7506, 0.3518]]}

=====

{"formula": "Pm2NdSn3Rh4", "functional": "GGA-PBE", "state": "optimized geometry", "delta_e_f_ev_per_atom": -0.695, "lattice_angstrom": [[4.4408, 0.0000, 0.0000], [0.0000, 4.4408, 0.0000], [0.0000, 0.0000, 11.5151]], "species": ["Pm", "Pm", "Nd", "Sn", "Sn", "Sn", "Rh", "Rh", "Rh", "Rh"], "fractional_positions": [[0.0000, 0.5000, 0.2256], [0.5000, 0.0000, 0.7744], [0.0000, 0.0000, 0.5000], [0.0000, 0.5000, 0.8754], [0.5000, 0.0000, 0.1246], [0.5000, 0.5000, 0.5000], [0.0000, 0.0000, 0.0000], [0.0000, 0.5000, 0.6509], [0.5000, 0.0000, 0.3491], [0.5000, 0.5000, 0.0000]]}